<A>
A plane-wave DFT calculation with PBE was carried out for crystalline NdZr2Tl at its relaxed geometry.

The space group is P4/mmm (No. 123) and the conventional cell measures 4.6633, 4.6633 and 4.6018 Å, with angles of 90.00, 90.00 and 90.00 degrees. Symmetry generates all atoms from Nd at (0.0000, 0.0000, 0.0000), Zr at (0.0000, 0.5000, 0.5000) and Tl at (0.5000, 0.5000, 0.0000).

As for the density of states at the Fermi level: 2.79 states/eV/cell. The total magnetization is 0.0 μB/cell.

<B>
A plane-wave DFT calculation with PBE was carried out for crystalline NdZr2Tl at its relaxed geometry.

The space group is R-3m (No. 166, hexagonal axes) and the conventional cell measures 3.2342, 3.2342 and 34.7007 Å, with angles of 90.00, 90.00 and 120.00 degrees. Symmetry generates all atoms from Nd at (0.0000, 0.0000, 0.0000), Zr at (0.0000, 0.0000, 0.0920) and Tl at (0.0000, 0.0000, 0.5000).

As for the density of states at the Fermi level: 17.38 states/eV/cell. The total magnetization is 0.0 μB/cell.

Verdict on stability: <B> comes out at the bottom.

<A>
A plane-wave DFT calculation with PBE was carried out for crystalline Nd6Tm at its relaxed geometry.

The space group is P4/nbm (No. 125, origin choice 2) and the conventional cell measures 6.6104, 6.6104 and 11.3732 Å, with angles of 90.00, 90.00 and 90.00 degrees. Symmetry generates all atoms from Nd at (0.0815, 0.5815, 0.1397), Nd at (0.2500, 0.2500, 0.3637) and Tm at (0.2500, 0.7500, 0.5000).

As for the density of states at the Fermi level: 16.70 states/eV/cell. The total magnetization is 0.0 μB/cell.

<B>
A plane-wave DFT calculation with PBE was carried out for crystalline Nd6Tm at its relaxed geometry.

The space group is Im-3m (No. 229) and the conventional cell measures 8.1965, 8.1965 and 8.1965 Å, with angles of 90.00, 90.00 and 90.00 degrees. Symmetry generates all atoms from Nd at (0.0000, 0.2500, 0.5000) and Tm at (0.0000, 0.0000, 0.0000).

As for the density of states at the Fermi level: 10.99 states/eV/cell. The total magnetization is 0.0 μB/cell.

Verdict on stability: <B> comes out at the bottom.